The following is a DFT calculation (PBE) of a relaxed structure of Dy2ScNi.

* energy above the most stable polymorph in this dataset: 9.04 kJ/mol of atoms
* D(E_F): 5.60 states/eV per cell
* ΔE_f: -0.15 eV per atom
* space-group type: P4/mmm (123)

Lattice parameters (Å, degrees): 3.4340 3.4340 8.0678 90.00 90.00 90.00
Fractional coordinates of all 4 atoms:
Dy: 0.0000 0.0000 0.2005
Dy: 0.0000 0.0000 0.7995
Sc: 0.5000 0.5000 0.5000
Ni: 0.5000 0.5000 0.0000